# Rb2ZnIn6Sn

A relaxed Rb2ZnIn6Sn crystal (PBE, Alexandria).

The structure in CIF format:
```
data_Rb2ZnIn6Sn
_space_group_name_H-M_alt 'R -3 m'
_space_group_IT_number 166
_space_group_name_Hall '-R 3 2"'
_cell_length_a 7.4005
_cell_length_b 7.4005
_cell_length_c 42.1439
_cell_angle_alpha 90.00
_cell_angle_beta 90.00
_cell_angle_gamma 120.00
loop_
_atom_site_label
_atom_site_type_symbol
_atom_site_fract_x
_atom_site_fract_y
_atom_site_fract_z
_atom_site_occupancy
Rb1 Rb 0.0000 0.0000 0.1016 1
Rb2 Rb 0.0000 0.0000 0.2743 1
Zn1 Zn 0.0000 0.0000 0.0000 1
Zn2 Zn 0.0000 0.0000 0.5000 1
In1 In 0.0512 0.5256 0.8617 1
In2 In 0.0588 0.5294 0.3079 1
Sn1 Sn 0.0000 0.0000 0.4236 1
```

Its formation energy is -0.02 eV per atom. The calculation puts the total magnetization at 0.000 μB/atom. The total energy is -143.1 eV/cell. The density of states at the Fermi level comes out at 25.1 states/eV/cell. For the calculated volume, the calculation gives 1999 Å³/cell.